# 1
Rb3ZrIn after structural relaxation, computed with GGA-PBE.

E in eV for the cell shown: -8.75
Energy above the lowest structure with this stoichiometry in meV/atom: 0

a b c (Å): 6.961 6.961 6.961
angles (deg): 90.00 90.00 90.00
Space group Pm-3m (No. 221)
Unique sites:
Rb  0.000  0.000  0.500
Zr  0.500  0.500  0.500
In  0.000  0.000  0.000

# 2
CeGdGa2 after structural relaxation, computed with GGA-PBE.

E in eV for the cell shown: -112.64
Energy above the lowest structure with this stoichiometry in meV/atom: 2

a b c (Å): 7.258 7.258 7.258
angles (deg): 90.00 90.00 90.00
Space group Fm-3m (No. 225)
Unique sites:
Ce  0.000  0.000  0.000
Gd  0.000  0.000  0.500
Ga  0.250  0.250  0.250

# 3
Ir6Os3Rh2 after structural relaxation, computed with GGA-PBE.

E in eV for the cell shown: -101.43

a b c (Å): 4.729 6.101 6.106
angles (deg): 107.31 97.27 104.89
Space group P-1 (No. 2)
Unique sites:
Ir  0.047  0.184  0.413
Ir  0.139  0.548  0.235
Ir  0.323  0.276  0.866
Os  0.413  0.634  0.680
Os  0.500  0.000  0.500
Rh  0.231  0.911  0.050

# 4
PmMgAlGa2 after structural relaxation, computed with GGA-PBE.

E in eV for the cell shown: -36.76

a b c (Å): 4.263 4.263 11.450
angles (deg): 90.00 90.00 90.00
Space group I-4m2 (No. 119)
Unique sites:
Pm  0.000  0.000  0.000
Mg  0.000  0.500  0.750
Al  0.000  0.500  0.250
Ga  0.000  0.000  0.392